{
  "formula": "MgCuPb2",
  "functional": "GGA-PBEsol",
  "state": "relaxed",
  "n_ef_per_ev_cell": 1.775,
  "sg": "No. 123",
  "total_energy_ev_per_cell": -13.52,
  "delta_e_f_ev_per_atom": 0.132,
  "total_magnetization_mub_per_cell": 0.0,
  "lattice_angstrom": [[3.414, 0.000, 0.000], [0.000, 3.414, 0.000], [0.000, 0.000, 7.730]],
  "species": ["Mg", "Cu", "Pb", "Pb"],
  "frac_coords": [[0.000, 0.000, 0.000], [0.000, 0.000, 0.500], [0.500, 0.500, 0.281], [0.500, 0.500, 0.719]]
}